VASP calculation (GGA+U) on a geometry-optimized K2CrB2O6 structure.

abc: 8.9642 5.1753 6.5848
angles: 90.00 116.90 90.00
Closest atoms and distances in Å follow each position.
Space group C2/m (No. 12)
Asymmetric unit:
K1 0.2076 0.0000 0.1235  9 O 2.79-2.96
Cr1 0.0000 0.0000 0.5000  6 O 1.99
B1 0.1031 0.5000 0.3105  3 O 1.38
O1 0.0220 0.2691 0.2984  1 B 1.38
O2 0.2464 0.0000 0.6997  1 B 1.38

The density of states at the Fermi level comes out at 7.1 states/eV/cell. The total energy is -150.95 eV/cell.